Compound: Ac2TlCl
Source: Alexandria
Functional: GGA-PBE
Structure: relaxed

Unit cell a=4.717 b=4.717 c=8.300 alpha=73.49 beta=73.49 gamma=60.00
Atoms (fractional coordinates):
1 Tl 0.669 0.669 0.994
2 Ac 0.258 0.258 0.225
3 Ac 0.079 0.079 0.762
4 Cl 0.494 0.494 0.519

Output
* raw formation energy: -3.02 eV per formula unit
* calculated density: 7.6 Mg/m³

***

Compound: PaZnCo
Source: Alexandria
Functional: GGA-PBE
Structure: relaxed

Unit cell a=3.029 b=3.029 c=5.920 alpha=104.82 beta=104.82 gamma=90.00
Atoms (fractional coordinates):
1 Pa 0.019 0.019 0.038
2 Zn 0.306 0.306 0.612
3 Co 0.675 0.675 0.350

Output
* calculated density: 11.7 Mg/m³
* energy relative to the elements: -137 meV/atom

***

Compound: TcOs3
Source: Alexandria
Functional: GGA-PBE
Structure: relaxed

Unit cell a=4.729 b=4.729 c=2.728 alpha=90.00 beta=90.00 gamma=109.37
Atoms (fractional coordinates):
1 Os 0.000 0.000 0.000
2 Os 0.000 0.500 0.500
3 Os 0.500 0.000 0.500
4 Tc 0.500 0.500 0.000

Output
* calculated density: 19.3 Mg/m³
* energy relative to the elements: 81 meV/atom